# 1
! CeBeGe2 PBE relaxed; values from VASP
&SYSTEM
  ibrav = 0, nat = 4, ntyp = 3
/
ATOMIC_SPECIES
Ce 140.12 Ce.upf
Be 9.01 Be.upf
Ge 72.64 Ge.upf
CELL_PARAMETERS angstrom
5.0204 -2.0365 0.0000
5.0204 2.0365 0.0000
-1.6401 0.0000 3.7268
ATOMIC_POSITIONS crystal
Ce 0.0000 0.0000 0.0000
Be 0.2503 0.2503 0.7551
Ge 0.3660 0.3660 0.3699
Ge 0.6348 0.6348 0.6140
! energy of formation from the pure elements = -0.391 eV per atom
! ΔE to the lowest computed polymorph = 0.000 eV/atom
! electronic total energy = -20.46 eV/cell

# 2
! Co2As2C PBE relaxed; values from VASP
&SYSTEM
  ibrav = 0, nat = 10, ntyp = 3
/
ATOMIC_SPECIES
Co 58.93 Co.upf
As 74.92 As.upf
C 12.01 C.upf
CELL_PARAMETERS angstrom
5.1479 0.0000 0.0000
0.0000 5.1479 0.0000
0.0000 0.0000 4.9547
ATOMIC_POSITIONS crystal
Co 0.1860 0.3140 0.0000
Co 0.3140 0.8140 0.0000
Co 0.6860 0.1860 0.0000
Co 0.8140 0.6860 0.0000
As 0.2195 0.2805 0.5000
As 0.2805 0.7805 0.5000
As 0.7195 0.2195 0.5000
As 0.7805 0.7195 0.5000
C 0.0000 0.0000 0.0000
C 0.5000 0.5000 0.0000
! energy of formation from the pure elements = 0.378 eV per atom
! electronic total energy = -61.69 eV/cell